Version 1
The following is a PBE-GGA calculation of LaZn3Cu after structural relaxation, from the Alexandria database.

```
data_LaZn3Cu
_chemical_formula_sum 'La1 Zn3 Cu1'
_cell_length_a 4.667
_cell_length_b 4.667
_cell_length_c 4.667
_cell_angle_alpha 90.00
_cell_angle_beta 90.00
_cell_angle_gamma 90.00
_symmetry_space_group_name_H-M 'P m -3 m'
_symmetry_Int_Tables_number 221
_symmetry_space_group_name_Hall '-P 4 2 3'
loop_
_atom_site_label
_atom_site_type_symbol
_atom_site_fract_x
_atom_site_fract_y
_atom_site_fract_z
_atom_site_occupancy
La1 La 0.000 0.000 0.000 1
Zn1 Zn 0.000 0.500 0.500 1
Cu1 Cu 0.500 0.500 0.500 1
```

---

Version 2
The following is a PBE-GGA calculation of LaZn3Cu after structural relaxation, from the Alexandria database.

```
data_LaZn3Cu
_chemical_formula_sum 'La1 Zn3 Cu1'
_cell_length_a 5.797
_cell_length_b 5.797
_cell_length_c 5.797
_cell_angle_alpha 90.00
_cell_angle_beta 90.00
_cell_angle_gamma 90.00
_symmetry_space_group_name_H-M 'P m -3 m'
_symmetry_Int_Tables_number 221
_symmetry_space_group_name_Hall '-P 4 2 3'
loop_
_atom_site_label
_atom_site_type_symbol
_atom_site_fract_x
_atom_site_fract_y
_atom_site_fract_z
_atom_site_occupancy
La1 La 0.000 0.000 0.000 1
Zn1 Zn 0.000 0.000 0.500 1
Cu1 Cu 0.500 0.500 0.500 1
```

---

Most stable: version 1

---

Version 1
The following is a PBE-GGA calculation of La3ZnCu after structural relaxation, from the Alexandria database.

```
data_La3ZnCu
_chemical_formula_sum 'La3 Zn1 Cu1'
_cell_length_a 5.565
_cell_length_b 5.565
_cell_length_c 5.565
_cell_angle_alpha 90.00
_cell_angle_beta 90.00
_cell_angle_gamma 90.00
_symmetry_space_group_name_H-M 'P m -3 m'
_symmetry_Int_Tables_number 221
_symmetry_space_group_name_Hall '-P 4 2 3'
loop_
_atom_site_label
_atom_site_type_symbol
_atom_site_fract_x
_atom_site_fract_y
_atom_site_fract_z
_atom_site_occupancy
La1 La 0.000 0.000 0.500 1
Zn1 Zn 0.500 0.500 0.500 1
Cu1 Cu 0.000 0.000 0.000 1
```

---

Version 2
The following is a PBE-GGA calculation of La3ZnCu after structural relaxation, from the Alexandria database.

```
data_La3ZnCu
_chemical_formula_sum 'La12 Zn4 Cu4'
_cell_length_a 5.307
_cell_length_b 19.725
_cell_length_c 5.309
_cell_angle_alpha 90.00
_cell_angle_beta 90.00
_cell_angle_gamma 90.00
_symmetry_space_group_name_H-M 'C m c m'
_symmetry_Int_Tables_number 63
_symmetry_space_group_name_Hall '-C 2c 2'
loop_
_atom_site_label
_atom_site_type_symbol
_atom_site_fract_x
_atom_site_fract_y
_atom_site_fract_z
_atom_site_occupancy
La1 La 0.000 0.067 0.250 1
La2 La 0.000 0.249 0.250 1
La3 La 0.000 0.431 0.250 1
Zn1 Zn 0.000 0.156 0.750 1
Cu1 Cu 0.000 0.343 0.750 1
```

---

Most stable: version 2

---

Version 1
The following is a PBE-GGA calculation of La2Zn5Cu4 after structural relaxation, from the Alexandria database.

```
data_La2Zn5Cu4
_chemical_formula_sum 'La8 Zn20 Cu16'
_cell_length_a 5.434
_cell_length_b 9.086
_cell_length_c 16.131
_cell_angle_alpha 90.00
_cell_angle_beta 90.00
_cell_angle_gamma 90.00
_symmetry_space_group_name_H-M 'F m m m'
_symmetry_Int_Tables_number 69
_symmetry_space_group_name_Hall '-F 2 2'
loop_
_atom_site_label
_atom_site_type_symbol
_atom_site_fract_x
_atom_site_fract_y
_atom_site_fract_z
_atom_site_occupancy
La1 La 0.000 0.000 0.135 1
Zn1 Zn 0.000 0.000 0.500 1
Zn2 Zn 0.250 0.250 0.000 1
Zn3 Zn 0.250 0.250 0.250 1
Cu1 Cu 0.000 0.152 0.369 1
```

---

Version 2
The following is a PBE-GGA calculation of La2Zn5Cu4 after structural relaxation, from the Alexandria database.

```
data_La2Zn5Cu4
_chemical_formula_sum 'La4 Zn10 Cu8'
_cell_length_a 12.411
_cell_length_b 5.290
_cell_length_c 7.899
_cell_angle_alpha 90.00
_cell_angle_beta 126.65
_cell_angle_gamma 90.00
_symmetry_space_group_name_H-M 'C 1 2/m 1'
_symmetry_Int_Tables_number 12
_symmetry_space_group_name_Hall '-C 2y'
loop_
_atom_site_label
_atom_site_type_symbol
_atom_site_fract_x
_atom_site_fract_y
_atom_site_fract_z
_atom_site_occupancy
La1 La 0.227 0.000 0.284 1
Zn1 Zn 0.000 0.500 0.000 1
Zn2 Zn 0.041 0.249 0.761 1
Cu1 Cu 0.120 0.000 0.557 1
Cu2 Cu 0.232 0.500 0.061 1
```

---

Most stable: version 1

---

Version 1
The following is a PBE-GGA calculation of La2Zn2Cu3 after structural relaxation, from the Alexandria database.

```
data_La2Zn2Cu3
_chemical_formula_sum 'La8 Zn8 Cu12'
_cell_length_a 4.246
_cell_length_b 18.418
_cell_length_c 7.256
_cell_angle_alpha 90.00
_cell_angle_beta 90.00
_cell_angle_gamma 90.00
_symmetry_space_group_name_H-M 'C m c m'
_symmetry_Int_Tables_number 63
_symmetry_space_group_name_Hall '-C 2c 2'
loop_
_atom_site_label
_atom_site_type_symbol
_atom_site_fract_x
_atom_site_fract_y
_atom_site_fract_z
_atom_site_occupancy
La1 La 0.000 0.063 0.250 1
La2 La 0.000 0.153 0.750 1
Zn1 Zn 0.000 0.309 0.563 1
Cu1 Cu 0.000 0.228 0.250 1
Cu2 Cu 0.000 0.442 0.076 1
```

---

Version 2
The following is a PBE-GGA calculation of La2Zn2Cu3 after structural relaxation, from the Alexandria database.

```
data_La2Zn2Cu3
_chemical_formula_sum 'La4 Zn4 Cu6'
_cell_length_a 10.598
_cell_length_b 4.356
_cell_length_c 6.779
_cell_angle_alpha 90.00
_cell_angle_beta 115.49
_cell_angle_gamma 90.00
_symmetry_space_group_name_H-M 'C 1 2/m 1'
_symmetry_Int_Tables_number 12
_symmetry_space_group_name_Hall '-C 2y'
loop_
_atom_site_label
_atom_site_type_symbol
_atom_site_fract_x
_atom_site_fract_y
_atom_site_fract_z
_atom_site_occupancy
La1 La 0.162 0.000 0.247 1
Zn1 Zn 0.120 0.000 0.715 1
Cu1 Cu 0.000 0.500 0.500 1
Cu2 Cu 0.079 0.500 0.900 1
```

---

Most stable: version 1

---

Version 1
The following is a PBE-GGA calculation of La3Zn4Cu4 after structural relaxation, from the Alexandria database.

```
data_La3Zn4Cu4
_chemical_formula_sum 'La3 Zn4 Cu4'
_cell_length_a 3.978
_cell_length_b 4.278
_cell_length_c 13.621
_cell_angle_alpha 98.93
_cell_angle_beta 98.35
_cell_angle_gamma 90.27
_symmetry_space_group_name_H-M 'P -1'
_symmetry_Int_Tables_number 2
_symmetry_space_group_name_Hall '-P 1'
loop_
_atom_site_label
_atom_site_type_symbol
_atom_site_fract_x
_atom_site_fract_y
_atom_site_fract_z
_atom_site_occupancy
La1 La 0.000 0.000 0.000 1
La2 La 0.151 0.649 0.300 1
Zn1 Zn 0.251 0.252 0.503 1
Zn2 Zn 0.402 0.902 0.804 1
Cu1 Cu 0.307 0.807 0.613 1
Cu2 Cu 0.451 0.452 0.905 1
```

---

Version 2
The following is a PBE-GGA calculation of La3Zn4Cu4 after structural relaxation, from the Alexandria database.

```
data_La3Zn4Cu4
_chemical_formula_sum 'La6 Zn8 Cu8'
_cell_length_a 4.340
_cell_length_b 7.112
_cell_length_c 14.257
_cell_angle_alpha 90.00
_cell_angle_beta 90.00
_cell_angle_gamma 90.00
_symmetry_space_group_name_H-M 'I m m m'
_symmetry_Int_Tables_number 71
_symmetry_space_group_name_Hall '-I 2 2'
loop_
_atom_site_label
_atom_site_type_symbol
_atom_site_fract_x
_atom_site_fract_y
_atom_site_fract_z
_atom_site_occupancy
La1 La 0.000 0.000 0.000 1
La2 La 0.000 0.500 0.134 1
Zn1 Zn 0.000 0.315 0.332 1
Cu1 Cu 0.000 0.000 0.216 1
Cu2 Cu 0.000 0.180 0.500 1
```

---

Most stable: version 1

---

Version 1
The following is a PBE-GGA calculation of La2Zn5Cu3 after structural relaxation, from the Alexandria database.

```
data_La2Zn5Cu3
_chemical_formula_sum 'La2 Zn5 Cu3'
_cell_length_a 4.153
_cell_length_b 4.153
_cell_length_c 10.998
_cell_angle_alpha 90.00
_cell_angle_beta 90.00
_cell_angle_gamma 90.00
_symmetry_space_group_name_H-M 'P -4 m 2'
_symmetry_Int_Tables_number 115
_symmetry_space_group_name_Hall 'P -4 -2'
loop_
_atom_site_label
_atom_site_type_symbol
_atom_site_fract_x
_atom_site_fract_y
_atom_site_fract_z
_atom_site_occupancy
La1 La 0.000 0.500 0.236 1
Zn1 Zn 0.000 0.000 0.500 1
Zn2 Zn 0.000 0.500 0.643 1
Zn3 Zn 0.500 0.500 0.000 1
Zn4 Zn 0.500 0.500 0.500 1
Cu1 Cu 0.000 0.000 0.000 1
Cu2 Cu 0.000 0.500 0.871 1
```

---

Version 2
The following is a PBE-GGA calculation of La2Zn5Cu3 after structural relaxation, from the Alexandria database.

```
data_La2Zn5Cu3
_chemical_formula_sum 'La8 Zn20 Cu12'
_cell_length_a 11.814
_cell_length_b 12.887
_cell_length_c 5.564
_cell_angle_alpha 90.00
_cell_angle_beta 118.09
_cell_angle_gamma 90.00
_symmetry_space_group_name_H-M 'C 1 2/c 1'
_symmetry_Int_Tables_number 15
_symmetry_space_group_name_Hall '-C 2yc'
loop_
_atom_site_label
_atom_site_type_symbol
_atom_site_fract_x
_atom_site_fract_y
_atom_site_fract_z
_atom_site_occupancy
La1 La 0.215 0.142 0.215 1
Zn1 Zn 0.000 0.000 0.250 1
Zn2 Zn 0.000 0.297 0.750 1
Zn3 Zn 0.000 0.298 0.250 1
Zn4 Zn 0.169 0.411 0.170 1
Cu1 Cu 0.000 0.500 0.250 1
Cu2 Cu 0.096 0.148 0.596 1
```

---

Most stable: version 2

---

Version 1
The following is a PBE-GGA calculation of LaZn9Cu2 after structural relaxation, from the Alexandria database.

```
data_LaZn9Cu2
_chemical_formula_sum 'La1 Zn9 Cu2'
_cell_length_a 7.9668
_cell_length_b 7.9668
_cell_length_c 3.7722
_cell_angle_alpha 90.00
_cell_angle_beta 90.00
_cell_angle_gamma 120.00
_symmetry_space_group_name_H-M 'P 6/m m m'
_symmetry_Int_Tables_number 191
_symmetry_space_group_name_Hall '-P 6 2'
loop_
_atom_site_label
_atom_site_type_symbol
_atom_site_fract_x
_atom_site_fract_y
_atom_site_fract_z
_atom_site_occupancy
La1 La 0.0000 0.0000 0.0000 1
Zn1 Zn 0.0000 0.5000 0.0000 1
Zn2 Zn 0.2018 0.4035 0.5000 1
Cu1 Cu 0.3333 0.6667 0.0000 1
```

---

Version 2
The following is a PBE-GGA calculation of LaZn9Cu2 after structural relaxation, from the Alexandria database.

```
data_LaZn9Cu2
_chemical_formula_sum 'La4 Zn36 Cu8'
_cell_length_a 10.607
_cell_length_b 10.607
_cell_length_c 6.778
_cell_angle_alpha 90.00
_cell_angle_beta 90.00
_cell_angle_gamma 90.00
_symmetry_space_group_name_H-M 'I 41/a m d'
_symmetry_Int_Tables_number 141
loop_
_symmetry_equiv_pos_as_xyz
'x,y,z'
'-x,-y,-z'
'-y+1/4,x+3/4,z+1/4'
'y+1/4,-x+3/4,-z+1/4'
'-x+1/2,-y,z+1/2'
'x+1/2,y,-z+1/2'
'y+1/4,-x+1/4,z+3/4'
'-y+1/4,x+1/4,-z+3/4'
'x,-y,-z'
'-x,y,z'
'-y+1/4,-x+1/4,-z+3/4'
'y+1/4,x+1/4,z+3/4'
'-x+1/2,y,-z+1/2'
'x+1/2,-y,z+1/2'
'y+1/4,x+3/4,-z+1/4'
'-y+1/4,-x+3/4,z+1/4'
'x+1/2,y+1/2,z+1/2'
'-x+1/2,-y+1/2,-z+1/2'
'-y+3/4,x+1/4,z+3/4'
'y+3/4,-x+1/4,-z+3/4'
'-x,-y+1/2,z'
'x,y+1/2,-z'
'y+3/4,-x+3/4,z+1/4'
'-y+3/4,x+3/4,-z+1/4'
'x+1/2,-y+1/2,-z+1/2'
'-x+1/2,y+1/2,z+1/2'
'-y+3/4,-x+3/4,-z+1/4'
'y+3/4,x+3/4,z+1/4'
'-x,y+1/2,-z'
'x,-y+1/2,z'
'y+3/4,x+1/4,-z+3/4'
'-y+3/4,-x+1/4,z+3/4'
loop_
_atom_site_label
_atom_site_type_symbol
_atom_site_fract_x
_atom_site_fract_y
_atom_site_fract_z
_atom_site_occupancy
La1 La 0.000 0.250 0.375 1
Zn1 Zn 0.000 0.250 0.875 1
Zn2 Zn 0.122 0.045 0.685 1
Cu1 Cu 0.000 0.000 0.000 1
```

---

Most stable: version 2

---

Version 1
The following is a PBE-GGA calculation of LaZrCu2 after structural relaxation, from the Alexandria database.

```
data_LaZrCu2
_chemical_formula_sum 'La4 Zr4 Cu8'
_cell_length_a 6.948
_cell_length_b 6.948
_cell_length_c 6.948
_cell_angle_alpha 90.00
_cell_angle_beta 90.00
_cell_angle_gamma 90.00
_symmetry_space_group_name_H-M 'F m -3 m'
_symmetry_Int_Tables_number 225
_symmetry_space_group_name_Hall '-F 4 2 3'
loop_
_atom_site_label
_atom_site_type_symbol
_atom_site_fract_x
_atom_site_fract_y
_atom_site_fract_z
_atom_site_occupancy
La1 La 0.000 0.000 0.000 1
Zr1 Zr 0.000 0.000 0.500 1
Cu1 Cu 0.250 0.250 0.250 1
```

---

Version 2
The following is a PBE-GGA calculation of LaZrCu2 after structural relaxation, from the Alexandria database.

```
data_LaZrCu2
_chemical_formula_sum 'La2 Zr2 Cu4'
_cell_length_a 6.963
_cell_length_b 6.978
_cell_length_c 3.384
_cell_angle_alpha 90.00
_cell_angle_beta 90.10
_cell_angle_gamma 90.00
_symmetry_space_group_name_H-M 'C 1 2/m 1'
_symmetry_Int_Tables_number 12
_symmetry_space_group_name_Hall '-C 2y'
loop_
_atom_site_label
_atom_site_type_symbol
_atom_site_fract_x
_atom_site_fract_y
_atom_site_fract_z
_atom_site_occupancy
La1 La 0.000 0.000 0.000 1
Zr1 Zr 0.000 0.500 0.000 1
Cu1 Cu 0.250 0.250 0.500 1
```

---

Version 3
The following is a PBE-GGA calculation of LaZrCu2 after structural relaxation, from the Alexandria database.

```
data_LaZrCu2
_chemical_formula_sum 'La1 Zr1 Cu2'
_cell_length_a 3.356
_cell_length_b 3.356
_cell_length_c 7.290
_cell_angle_alpha 90.00
_cell_angle_beta 90.00
_cell_angle_gamma 90.00
_symmetry_space_group_name_H-M 'P 4 m m'
_symmetry_Int_Tables_number 99
_symmetry_space_group_name_Hall 'P 4 -2'
loop_
_atom_site_label
_atom_site_type_symbol
_atom_site_fract_x
_atom_site_fract_y
_atom_site_fract_z
_atom_site_occupancy
La1 La 0.000 0.000 0.000 1
Zr1 Zr 0.500 0.500 0.347 1
Cu1 Cu 0.000 0.000 0.560 1
Cu2 Cu 0.500 0.500 0.718 1
```

---

Version 4
The following is a PBE-GGA calculation of LaZrCu2 after structural relaxation, from the Alexandria database.

```
data_LaZrCu2
_chemical_formula_sum 'La3 Zr3 Cu6'
_cell_length_a 3.5970
_cell_length_b 3.5970
_cell_length_c 23.8543
_cell_angle_alpha 90.00
_cell_angle_beta 90.00
_cell_angle_gamma 120.00
_symmetry_space_group_name_H-M 'R -3 m'
_symmetry_Int_Tables_number 166
_symmetry_space_group_name_Hall '-R 3 2"'
loop_
_atom_site_label
_atom_site_type_symbol
_atom_site_fract_x
_atom_site_fract_y
_atom_site_fract_z
_atom_site_occupancy
La1 La 0.0000 0.0000 0.0000 1
Zr1 Zr 0.0000 0.0000 0.5000 1
Cu1 Cu 0.0000 0.0000 0.2401 1
```

---

Most stable: version 2